A geometry-optimized Na2ZrS3 structure, computed with GGA-PBE.

Electronic total energy, eV per atom: -5.355
Calculated volume, A^3/atom: 21.3

abc: 7.0362 3.7879 9.5976
angles: 90.00 92.11 90.00
Last column: nearest neighbours and their distance in Å.
Space group P2_1/m (No. 11)
Symmetry-distinct sites (fractional):
Na: 0.0819 0.2500 0.1603 [2 per cell]  6 S 2.79-2.95
Na: 0.2403 0.7500 0.4898 [2 per cell]  6 S 2.83-2.94
Zr: 0.3969 0.2500 0.8204 [2 per cell]  5 S 2.41-2.64
S: 0.1048 0.2500 0.6813 [2 per cell]  1 Zr 2.41
S: 0.2887 0.7500 0.9927 [2 per cell]  3 Zr 2.64-2.80, 3 Na 2.91-2.95
S: 0.4368 0.2500 0.3106 [2 per cell]  2 Zr 2.58, 1 Na 2.84

A geometry-optimized Na2ZrS3 structure, computed with GGA-PBE.

Electronic total energy, eV per atom: -5.375
Calculated volume, A^3/atom: 21.3

abc: 6.6800 11.5842 6.9897
angles: 90.00 108.89 90.00
Last column: nearest neighbours and their distance in Å.
Space group C2/m (No. 12)
Symmetry-distinct sites (fractional):
Na: 0.0000 0.0000 0.0000 [2 per cell]  6 S 2.83
Na: 0.0000 0.1584 0.5000 [4 per cell]  6 S 2.80-2.99
Na: 0.0000 0.5000 0.5000 [2 per cell]  6 S 2.76-2.96
Zr: 0.0000 0.3317 0.0000 [4 per cell]  6 S 2.58-2.61
S: 0.2129 0.5000 0.2219 [4 per cell]  2 Zr 2.61, 4 Na 2.76-2.90
S: 0.2440 0.3188 0.7780 [8 per cell]  2 Zr 2.58-2.59, 2 Na 2.80-2.83

A geometry-optimized NaZr3S5 structure, computed with GGA-PBE.

Electronic total energy, eV per atom: -6.473
Calculated volume, A^3/atom: 25.1

abc: 6.0995 6.0995 7.0124
angles: 90.00 90.00 120.00
Last column: nearest neighbours and their distance in Å.
Space group P6/mmm (No. 191)
Symmetry-distinct sites (fractional):
Na: 0.0000 0.0000 0.0000 [1 per cell]  14 S 3.51-3.89
Zr: 0.0000 0.5000 0.5000 [3 per cell]  4 S 2.56
S: 0.0000 0.0000 0.5000 [1 per cell]  6 Zr 3.05
S: 0.3333 0.6667 0.2344 [4 per cell]  3 Zr 2.56

A geometry-optimized NaSmSbSe3 structure, computed with GGA-PBE.

Electronic total energy, eV per atom: -4.297
Calculated volume, A^3/atom: 28.1

abc: 4.2925 14.8028 10.6108
angles: 90.00 90.00 90.00
Last column: nearest neighbours and their distance in Å.
Space group Cmcm (No. 63)
Symmetry-distinct sites (fractional):
Na: 0.0000 0.2448 0.2500 [4 per cell]  2 Se 2.97
Sm: 0.0000 0.0000 0.0000 [4 per cell]  6 Se 3.00-3.17
Sb: 0.0000 0.4685 0.7500 [4 per cell]  2 Se 2.70
Se: 0.0000 0.1168 0.7500 [4 per cell]  2 Na 2.97, 2 Sb 3.07, 2 Sm 3.17
Se: 0.0000 0.3616 0.5438 [8 per cell]  1 Sb 2.70, 2 Sm 3.00